(1)
DFT (PBEsol) results for RbSmW2O8 after structural relaxation.

Calculated values
Formation energy (no corrections)   -2540 meV per atom

a b c (Å): 10.718 10.612 7.533
angles (deg): 90.00 130.38 90.00
Space group C2/c (No. 15)
Symmetry-distinct sites (fractional):
Rb: 0.000 0.201 0.250 x4
Sm: 0.000 0.228 0.750 x4
W: 0.194 0.497 0.730 x8
O: 0.023 0.393 0.974 x8
O: 0.129 0.079 0.690 x8
O: 0.189 0.433 0.443 x8
O: 0.228 0.159 0.132 x8

(2)
DFT (PBEsol) results for Rb8SnO6 after structural relaxation.

Calculated values
Formation energy (no corrections)   -1253 meV per atom

a b c (Å): 7.3356 7.3356 15.4635
angles (deg): 90.00 90.00 120.00
Space group P6_3cm (No. 185)
Symmetry-distinct sites (fractional):
Rb: 0.0000 0.2817 0.0000 x6
Rb: 0.0000 0.4011 0.6523 x6
Rb: 0.3333 0.6667 0.3572 x4
Sn: 0.0000 0.0000 0.2781 x2
O: 0.0000 0.0000 0.1474 x2
O: 0.0000 0.2569 0.8189 x6
O: 0.3333 0.6667 0.0432 x4

(3)
DFT (PBEsol) results for Rb4SnO3 after structural relaxation.

Calculated values
Formation energy (no corrections)   -1293 meV per atom

a b c (Å): 6.686 11.717 19.728
angles (deg): 90.00 90.00 90.00
Space group Pbca (No. 61)
Symmetry-distinct sites (fractional):
Rb: 0.036 0.111 0.205 x8
Rb: 0.124 0.676 0.658 x8
Rb: 0.228 0.190 0.444 x8
Rb: 0.241 0.057 0.037 x8
Sn: 0.107 0.566 0.853 x8
O: 0.035 0.591 0.155 x8
O: 0.044 0.143 0.568 x8
O: 0.131 0.020 0.900 x8

(4)
DFT (PBEsol) results for RbSr2O after structural relaxation.

Calculated values
Formation energy (no corrections)   -1217 meV per atom

a b c (Å): 11.165 11.165 11.165
angles (deg): 90.00 90.00 90.00
Space group Fd-3m (No. 227, origin choice 2)
Symmetry-distinct sites (fractional):
Rb: 0.125 0.125 0.125 x8
Sr: 0.000 0.000 0.500 x16
O: 0.125 0.125 0.625 x8

(5)
DFT (PBEsol) results for Rb2Ta15O32 after structural relaxation.

Calculated values
Formation energy (no corrections)   -2697 meV per atom

a b c (Å): 7.7883 7.7883 36.0610
angles (deg): 90.00 90.00 120.00
Space group R-3 (No. 148, hexagonal axes)
Symmetry-distinct sites (fractional):
Rb: 0.0000 0.0000 0.1404 x6
Ta: 0.0000 0.0000 0.3624 x6
Ta: 0.0000 0.0000 0.5000 x3
Ta: 0.0218 0.8037 0.0323 x18
Ta: 0.0662 0.8058 0.2344 x18
O: 0.0000 0.0000 0.2635 x6
O: 0.0019 0.7944 0.5322 x18
O: 0.0274 0.7919 0.9342 x18
O: 0.0594 0.8223 0.7899 x18
O: 0.0613 0.8229 0.3945 x18
O: 0.0717 0.8333 0.6668 x18

(6)
DFT (PBEsol) results for Rb8Ta6O19 after structural relaxation.

Calculated values
Formation energy (no corrections)   -2542 meV per atom

a b c (Å): 9.774 9.774 13.264
angles (deg): 90.00 90.00 90.00
Space group I4/m (No. 87)
Symmetry-distinct sites (fractional):
Rb: 0.087 0.270 0.143 x16
Ta: 0.000 0.000 0.325 x4
Ta: 0.108 0.218 0.500 x8
O: 0.000 0.000 0.188 x4
O: 0.000 0.000 0.500 x2
O: 0.086 0.733 0.500 x8
O: 0.093 0.178 0.353 x16
O: 0.124 0.707 0.000 x8

(7)
DFT (PBEsol) results for RbTaO3 after structural relaxation.

Calculated values
Formation energy (no corrections)   -2618 meV per atom

a b c (Å): 4.027 4.027 4.027
angles (deg): 90.00 90.00 90.00
Space group Pm-3m (No. 221)
Symmetry-distinct sites (fractional):
Rb: 0.000 0.000 0.000 x1
Ta: 0.500 0.500 0.500 x1
O: 0.000 0.500 0.500 x3

(8)
DFT (PBEsol) results for RbTaO3 after structural relaxation.

Calculated values
Formation energy (no corrections)   -2614 meV per atom

a b c (Å): 5.088 8.440 8.995
angles (deg): 114.69 93.84 94.51
Space group P-1 (No. 2)
Symmetry-distinct sites (fractional):
Rb: 0.000 0.000 0.000 x1
Rb: 0.000 0.000 0.500 x1
Rb: 0.406 0.701 0.096 x2
Ta: 0.024 0.512 0.315 x2
Ta: 0.497 0.284 0.354 x2
O: 0.102 0.392 0.817 x2
O: 0.213 0.719 0.774 x2
O: 0.238 0.425 0.510 x2
O: 0.280 0.716 0.459 x2
O: 0.298 0.374 0.206 x2
O: 0.349 0.058 0.268 x2

(9)
DFT (PBEsol) results for RbTaO2 after structural relaxation.

Calculated values
Formation energy (no corrections)   -1673 meV per atom

a b c (Å): 5.329 5.329 11.199
angles (deg): 90.00 90.00 90.00
Space group I-42d (No. 122)
Symmetry-distinct sites (fractional):
Rb: 0.000 0.000 0.000 x4
Ta: 0.000 0.000 0.500 x4
O: 0.049 0.250 0.625 x8

(10)
DFT (PBEsol) results for RbZrTc2O after structural relaxation.

Calculated values
Formation energy (no corrections)   1050 meV per atom

a b c (Å): 5.142 5.142 4.224
angles (deg): 90.00 90.00 90.00
Space group P4/mmm (No. 123)
Symmetry-distinct sites (fractional):
Rb: 0.000 0.000 0.000 x1
Zr: 0.500 0.500 0.500 x1
Tc: 0.000 0.500 0.500 x2
O: 0.500 0.500 0.000 x1

(11)
DFT (PBEsol) results for Rb2TeO3 after structural relaxation.

Calculated values
Formation energy (no corrections)   -1470 meV per atom

a b c (Å): 11.586 6.445 7.455
angles (deg): 90.00 96.73 90.00
Space group C2/m (No. 12)
Symmetry-distinct sites (fractional):
Rb: 0.000 0.000 0.000 x2
Rb: 0.000 0.000 0.500 x2
Rb: 0.183 0.500 0.140 x4
Te: 0.157 0.500 0.655 x4
O: 0.113 0.276 0.791 x8
O: 0.182 0.000 0.282 x4

(12)
DFT (PBEsol) results for RbTe2O6 after structural relaxation.

Calculated values
Formation energy (no corrections)   -1211 meV per atom

a b c (Å): 10.418 10.418 10.418
angles (deg): 90.00 90.00 90.00
Space group Fd-3m (No. 227, origin choice 2)
Symmetry-distinct sites (fractional):
Rb: 0.125 0.125 0.125 x8
Te: 0.000 0.000 0.500 x16
O: 0.070 0.375 0.875 x48

(13)
DFT (PBEsol) results for Rb2TiTe3O12 after structural relaxation.

Calculated values
Formation energy (no corrections)   -1577 meV per atom

a b c (Å): 7.2015 7.2015 17.4925
angles (deg): 90.00 90.00 120.00
Space group R-3m (No. 166, hexagonal axes)
Symmetry-distinct sites (fractional):
Rb: 0.0000 0.0000 0.1320 x6
Ti: 0.0000 0.0000 0.5000 x3
Te: 0.0000 0.5000 0.0000 x9
O: 0.0685 0.5343 0.3605 x18
O: 0.0766 0.5383 0.1042 x18

(14)
DFT (PBEsol) results for Rb2TeW3O12 after structural relaxation.

Calculated values
Formation energy (no corrections)   -2000 meV per atom

a b c (Å): 7.3109 7.3109 12.1160
angles (deg): 90.00 90.00 120.00
Space group P6_3mc (No. 186)
Symmetry-distinct sites (fractional):
Rb: 0.3333 0.6667 0.0000 x2
Rb: 0.3333 0.6667 0.3857 x2
Te: 0.0000 0.0000 0.4625 x2
W: 0.1692 0.3384 0.7175 x6
O: 0.0896 0.5448 0.7564 x6
O: 0.1225 0.2449 0.2067 x6
O: 0.1316 0.2633 0.8863 x6
O: 0.1958 0.3915 0.5745 x6